Record 1
DFT (PBE-GGA) results for crystalline TmSc2Te4 at its relaxed geometry.

```
TmSc2Te4
1.0
-2.277 0.910 -3.304
4.684 -5.000 -2.043
-9.430 -10.326 3.652
Tm Sc Te
2 4 8
Direct
0.627 0.255 0.750 Tm
0.373 0.745 0.250 Tm
0.129 0.257 0.433 Sc
0.871 0.743 0.933 Sc
0.129 0.257 0.067 Sc
0.871 0.743 0.567 Sc
0.776 0.551 0.118 Te
0.776 0.551 0.382 Te
0.224 0.449 0.882 Te
0.224 0.449 0.618 Te
0.963 0.926 0.750 Te
0.037 0.074 0.250 Te
0.500 0.000 0.000 Te
0.500 0.000 0.500 Te
```

Output
The space group is Cmcm. For the offset from the most stable computed form, the calculation gives 5.1 kJ per mole of atoms. Its total DFT energy (no corrections) is -5.46 eV/atom.

Record 2
DFT (PBE-GGA) results for crystalline AlVCu3 at its relaxed geometry.

```
AlVCu3
1.0
4.554 0.000 0.000
0.000 4.554 0.000
0.000 0.000 4.554
Al Cu V
1 3 1
Direct
0.500 0.500 0.500 Al
0.000 0.500 0.000 Cu
0.000 0.000 0.500 Cu
0.500 0.000 0.000 Cu
0.000 0.000 0.000 V
```

Output
The space group is Pm-3m. As for the energy relative to the elements: 1247.2 meV/atom. For the offset from the most stable computed form, the calculation gives 40.2 kJ per mole of atoms. Its total DFT energy (no corrections) is -3.78 eV/atom.

Record 3
DFT (PBE-GGA) results for crystalline BeCr2Cd at its relaxed geometry.

```
BeCr2Cd
1.0
-0.302 -0.156 -4.855
-0.588 -4.522 -1.700
-2.012 3.376 2.871
Cr Cd Be
2 1 1
Direct
0.976 0.976 0.000 Cr
0.756 0.256 0.500 Cr
0.260 0.760 0.500 Cd
0.508 0.508 0.000 Be
```

Output
The space group is Imm2. As for the energy relative to the elements: 458.0 meV/atom. For the offset from the most stable computed form, the calculation gives 20.4 kJ per mole of atoms. Its total DFT energy (no corrections) is -5.51 eV/atom.

Record 4
DFT (PBE-GGA) results for crystalline MgAuBr2 at its relaxed geometry.

```
MgAuBr2
1.0
-4.225 1.758 -2.625
1.957 -4.685 -1.572
-4.430 -2.803 0.614
Au Br Mg
1 2 1
Direct
0.500 0.000 0.500 Au
0.000 0.000 0.000 Br
0.000 0.500 0.500 Br
0.500 0.500 0.000 Mg
```

Output
The space group is C2/m. For the offset from the most stable computed form, the calculation gives 30.1 kJ per mole of atoms. Its total DFT energy (no corrections) is -2.37 eV/atom.

Record 5
DFT (PBE-GGA) results for crystalline DyEr2Tm at its relaxed geometry.

```
DyEr2Tm
1.0
-1.057 3.324 -0.218
-3.595 -0.928 3.286
4.334 1.721 5.229
Dy Er Tm
1 2 1
Direct
0.000 0.000 0.500 Dy
0.000 0.000 0.000 Er
0.500 0.500 0.249 Er
0.500 0.500 0.751 Tm
```

Output
The space group is Pmm2. As for the energy relative to the elements: 21.1 meV/atom. For the offset from the most stable computed form, the calculation gives 1.3 kJ per mole of atoms. Its total DFT energy (no corrections) is -4.53 eV/atom.

Record 6
DFT (PBE-GGA) results for crystalline Pu5Ge3Au at its relaxed geometry.

```
Pu5Ge3Au
1.0
-5.893 -1.065 -0.450
1.526 -5.558 -6.836
-0.073 -3.130 8.375
Pu Ge Au
10 6 2
Direct
0.000 0.333 0.667 Pu
0.500 0.667 0.333 Pu
0.000 0.667 0.333 Pu
0.500 0.333 0.667 Pu
0.750 0.702 0.000 Pu
0.750 0.298 0.298 Pu
0.750 0.000 0.702 Pu
0.250 0.298 0.000 Pu
0.250 0.702 0.702 Pu
0.250 0.000 0.298 Pu
0.750 0.370 0.000 Ge
0.750 0.630 0.630 Ge
0.750 0.000 0.370 Ge
0.250 0.630 0.000 Ge
0.250 0.370 0.370 Ge
0.250 0.000 0.630 Ge
0.000 0.000 0.000 Au
0.500 0.000 0.000 Au
```

Output
The space group is P6_3/mcm. As for the energy relative to the elements: -328.9 meV/atom. For the offset from the most stable computed form, the calculation gives 0.0 kJ per mole of atoms. Its total DFT energy (no corrections) is -10.19 eV/atom.